Compound: Al3Ag
Source: Alexandria via LeMat-Bulk
Functional: SCAN
Structure: PBEsol geometry

* E_form: 0.0117 eV per atom
* total DFT energy (no corrections): -13.644 eV/atom
* M_tot: 0.0 μB per formula unit
* space group: I4/mmm (139)
* crystal system: tetragonal

The structure in POSCAR format:
```
Al3Ag
1.0
-0.6488 3.8614 0.9084
-3.0968 0.0822 -2.5612
-0.6309 -3.0962 3.8176
Al Ag
3 1
direct
0.2500 0.7500 0.5000 Al
0.5000 0.5000 0.0000 Al
0.7500 0.2500 0.5000 Al
0.0000 0.0000 0.0000 Ag
```